# 1
Below is a PBEsol-optimized structure of KNi3Te, with properties calculated at the meta-GGA SCAN level.

* raw total energy: -18.27 eV per atom
* uncorrected formation energy: 0.553 eV per atom

a b c (Å): 4.726 4.726 4.726
angles (deg): 90.00 90.00 90.00
Positions (direct):
Ni 0.000 0.500 0.000
Ni 0.000 0.000 0.500
Ni 0.500 0.000 0.000
K 0.500 0.500 0.500
Te 0.000 0.000 0.000

# 2
Below is a PBEsol-optimized structure of KNi2Te, with properties calculated at the meta-GGA SCAN level.

* raw total energy: -19.44 eV per atom
* uncorrected formation energy: 0.041 eV per atom

a b c (Å): 4.000 4.641 5.436
angles (deg): 102.81 90.00 90.00
Positions (direct):
K 0.500 0.179 0.752
Ni 0.000 0.019 0.204
Ni 0.500 0.757 0.201
Te 0.000 0.544 0.343

# 3
Below is a PBEsol-optimized structure of KTi2TlNi, with properties calculated at the meta-GGA SCAN level.

* raw total energy: -24.31 eV per atom
* ΔE_f: 1.473 eV per atom

a b c (Å): 5.157 5.157 5.884
angles (deg): 90.00 90.00 90.00
Positions (direct):
Ni 0.500 0.500 0.500
Tl 0.000 0.000 0.000
K 0.000 0.000 0.500
Ti 0.000 0.500 0.000
Ti 0.500 0.000 0.000

# 4
Below is a PBEsol-optimized structure of KTlNi2, with properties calculated at the meta-GGA SCAN level.

* raw total energy: -27.40 eV per atom
* relative energy among the computed polymorphs: 25.9 kJ/mol of atoms
* ΔE_f: 0.857 eV per atom

a b c (Å): 3.965 3.965 5.342
angles (deg): 111.78 111.78 90.00
Positions (direct):
K 0.250 0.750 0.500
Ni 0.000 0.000 0.000
Ni 0.750 0.250 0.500
Tl 0.500 0.500 0.000

# 5
Below is a PBEsol-optimized structure of KTlNi2, with properties calculated at the meta-GGA SCAN level.

* raw total energy: -27.67 eV per atom
* relative energy among the computed polymorphs: 0.0 kJ/mol of atoms
* ΔE_f: 0.589 eV per atom

a b c (Å): 2.836 5.050 5.962
angles (deg): 115.06 103.76 90.00
Positions (direct):
K 0.743 0.243 0.487
Ni 0.949 0.949 0.898
Ni 0.268 0.768 0.535
Tl 0.540 0.540 0.080

# 6
Below is a PBEsol-optimized structure of KTlNi2, with properties calculated at the meta-GGA SCAN level.

* raw total energy: -27.50 eV per atom
* relative energy among the computed polymorphs: 16.2 kJ/mol of atoms
* ΔE_f: 0.756 eV per atom

a b c (Å): 4.615 4.779 4.779
angles (deg): 66.36 61.13 61.13
Positions (direct):
K 0.000 0.500 0.500
Ni 0.188 0.812 0.812
Ni 0.812 0.188 0.188
Tl 0.500 0.000 0.000

# 7
Below is a PBEsol-optimized structure of KTl3Ni, with properties calculated at the meta-GGA SCAN level.

* raw total energy: -48.35 eV per atom
* ΔE_f: -0.034 eV per atom

a b c (Å): 5.124 5.124 5.124
angles (deg): 90.00 90.00 90.00
Positions (direct):
Ni 0.000 0.000 0.000
Tl 0.000 0.500 0.000
Tl 0.000 0.000 0.500
Tl 0.500 0.000 0.000
K 0.500 0.500 0.500

# 8
Below is a PBEsol-optimized structure of KTl2Ni, with properties calculated at the meta-GGA SCAN level.

* raw total energy: -42.11 eV per atom
* ΔE_f: 0.192 eV per atom

a b c (Å): 3.218 5.829 6.357
angles (deg): 117.29 104.66 90.00
Positions (direct):
K 0.500 0.000 0.000
Ni 0.000 0.500 0.000
Tl 0.693 0.693 0.385
Tl 0.307 0.307 0.615

# 9
Below is a PBEsol-optimized structure of KNi2W, with properties calculated at the meta-GGA SCAN level.

* raw total energy: -25.99 eV per atom
* relative energy among the computed polymorphs: 75.5 kJ/mol of atoms
* ΔE_f: 1.603 eV per atom

a b c (Å): 2.616 4.547 5.364
angles (deg): 90.00 90.00 90.00
Positions (direct):
K 0.000 0.500 0.500
Ni 0.000 0.000 0.000
Ni 0.500 0.000 0.500
W 0.500 0.500 0.000

# 10
Below is a PBEsol-optimized structure of KNi2W, with properties calculated at the meta-GGA SCAN level.

* raw total energy: -26.08 eV per atom
* relative energy among the computed polymorphs: 66.7 kJ/mol of atoms
* ΔE_f: 1.511 eV per atom

a b c (Å): 4.434 4.434 4.434
angles (deg): 60.00 60.00 60.00
Positions (direct):
K 0.000 0.000 0.000
Ni 0.250 0.250 0.250
Ni 0.750 0.750 0.750
W 0.500 0.500 0.500

# 11
Below is a PBEsol-optimized structure of KNi2W, with properties calculated at the meta-GGA SCAN level.

* raw total energy: -26.75 eV per atom
* relative energy among the computed polymorphs: 1.6 kJ/mol of atoms
* ΔE_f: 0.837 eV per atom

a b c (Å): 2.617 4.095 6.926
angles (deg): 90.00 86.40 90.00
Positions (direct):
K 0.416 0.500 0.774
Ni 0.882 0.000 0.080
Ni 0.863 0.500 0.269
W 0.339 0.000 0.377

# 12
Below is a PBEsol-optimized structure of KNi2W, with properties calculated at the meta-GGA SCAN level.

* raw total energy: -26.77 eV per atom
* relative energy among the computed polymorphs: 0.0 kJ/mol of atoms
* ΔE_f: 0.820 eV per atom

a b c (Å): 2.664 2.664 9.043
angles (deg): 90.00 90.00 90.00
Positions (direct):
K 0.500 0.500 0.782
Ni 0.000 0.000 0.061
Ni 0.500 0.500 0.230
W 0.000 0.000 0.426

Please write out number 7 again, unchanged.
Below is a PBEsol-optimized structure of KTl3Ni, with properties calculated at the meta-GGA SCAN level.

* raw total energy: -48.35 eV per atom
* ΔE_f: -0.034 eV per atom

a b c (Å): 5.124 5.124 5.124
angles (deg): 90.00 90.00 90.00
Positions (direct):
Ni 0.000 0.000 0.000
Tl 0.000 0.500 0.000
Tl 0.000 0.000 0.500
Tl 0.500 0.000 0.000
K 0.500 0.500 0.500

Look up the raw total energy of the eighth one.
-42.11 eV per atom

What is the raw total energy in the first record?
-18.27 eV per atom

Which of these has the lowest raw total energy?
KTl3Ni